[1]
This record from Alexandria describes a geometry-optimized Sm6ErTm5 structure. The functional is PBE.

Unit cell a=9.4169 b=9.4169 c=9.4169 alpha=148.88 beta=116.02 gamma=72.86
Last column: nearest neighbours and their distance in Å.
Positions (direct):
Sm  0.0832  0.3333  0.7498  7 Tm 3.55, 1 Er 3.55, 4 Sm 3.57
Sm  0.2496  0.0000  0.2496  6 Tm 3.55, 2 Er 3.55, 4 Sm 3.57
Sm  0.4165  0.6667  0.7498  7 Tm 3.55, 1 Er 3.55, 4 Sm 3.57
Sm  0.5835  0.3333  0.2502  7 Tm 3.55, 1 Er 3.55, 4 Sm 3.57
Sm  0.7504  0.0000  0.7504  6 Tm 3.55, 2 Er 3.55, 4 Sm 3.57
Sm  0.9168  0.6667  0.2502  7 Tm 3.55, 1 Er 3.55, 4 Sm 3.57
Er  0.5000  0.5000  0.0000  8 Sm 3.55, 4 Tm 3.57
Tm  0.0000  0.5000  0.5000  8 Sm 3.55, 4 Tm 3.57
Tm  0.1668  0.1668  0.0000  8 Sm 3.55, 4 Tm 3.57
Tm  0.3334  0.8334  0.5000  8 Sm 3.55, 2 Tm 3.57, 2 Er 3.57
Tm  0.6666  0.1666  0.5000  8 Sm 3.55, 2 Tm 3.57, 2 Er 3.57
Tm  0.8332  0.8332  0.0000  8 Sm 3.55, 4 Tm 3.57

The space group is No. 71. The total magnetization comes out at 0.00 Bohr magnetons per cell. Its energy of formation from the pure elements is 0.020 eV/atom.


[2]
This record from Alexandria describes a geometry-optimized SmErTm3 structure. The functional is PBE.

Unit cell a=6.2125 b=6.6441 c=9.1093 alpha=107.68 beta=90.05 gamma=117.85
Last column: nearest neighbours and their distance in Å.
Positions (direct):
Sm  0.1323  0.1015  0.3483  3 Er 3.47-3.61, 8 Tm 3.48-3.61, 1 Sm 3.52
Sm  0.8677  0.8985  0.6517  3 Er 3.47-3.61, 8 Tm 3.48-3.61, 1 Sm 3.52
Er  0.3347  0.5021  0.7511  9 Tm 3.46-3.60, 3 Sm 3.47-3.61
Er  0.6653  0.4979  0.2489  9 Tm 3.46-3.60, 3 Sm 3.47-3.61
Tm  0.0673  0.3015  0.0485  7 Tm 3.45-3.59, 3 Er 3.46-3.59, 2 Sm 3.48-3.58
Tm  0.2661  0.7012  0.4485  5 Tm 3.47-3.62, 4 Sm 3.48-3.61, 3 Er 3.50-3.60
Tm  0.4669  0.1005  0.8518  7 Tm 3.46-3.62, 3 Er 3.47-3.57, 2 Sm 3.58-3.60
Tm  0.5331  0.8995  0.1482  7 Tm 3.46-3.62, 3 Er 3.47-3.57, 2 Sm 3.58-3.60
Tm  0.7339  0.2988  0.5515  5 Tm 3.47-3.62, 4 Sm 3.48-3.61, 3 Er 3.50-3.60
Tm  0.9327  0.6985  0.9515  7 Tm 3.45-3.59, 3 Er 3.46-3.59, 2 Sm 3.48-3.58

The space group is No. 2. The distance to the lowest polymorph of the same formula comes out at 0.000 eV per formula unit. The total magnetization comes out at 0.01 Bohr magnetons per cell. Its energy of formation from the pure elements is 0.003 eV/atom.


[3]
This record from Alexandria describes a geometry-optimized Sm2Er5Tm4 structure. The functional is PBE.

Unit cell a=12.4680 b=12.4680 c=12.4680 alpha=164.05 beta=138.13 gamma=45.08
Last column: nearest neighbours and their distance in Å.
Positions (direct):
Sm  0.2323  0.2323  0.0000  1 Tm 3.12, 2 Er 3.39, 2 Sm 3.46
Sm  0.7677  0.7677  0.0000  1 Tm 3.12, 2 Er 3.39, 2 Sm 3.46
Er  0.1631  0.3585  0.8046  3 Tm 3.38-3.42, 1 Sm 3.39, 3 Er 3.46-3.48
Er  0.4461  0.6415  0.8046  3 Tm 3.38-3.42, 1 Sm 3.39, 3 Er 3.46-3.48
Er  0.5000  0.0000  0.5000  4 Tm 3.27, 2 Er 3.46
Er  0.5539  0.3585  0.1954  3 Tm 3.38-3.42, 1 Sm 3.39, 3 Er 3.46-3.48
Er  0.8369  0.6415  0.1954  3 Tm 3.38-3.42, 1 Sm 3.39, 3 Er 3.46-3.48
Tm  0.0969  0.0969  0.0000  1 Sm 3.12, 6 Tm 3.28-3.46, 4 Er 3.38
Tm  0.1880  0.5000  0.6880  4 Er 3.27-3.42, 7 Tm 3.28-3.46
Tm  0.8120  0.5000  0.3120  4 Er 3.27-3.42, 7 Tm 3.28-3.46
Tm  0.9031  0.9031  0.0000  1 Sm 3.12, 6 Tm 3.28-3.46, 4 Er 3.38

The space group is No. 71. The distance to the lowest polymorph of the same formula comes out at 2.082 eV per formula unit. The total magnetization comes out at 0.00 Bohr magnetons per cell. Its energy of formation from the pure elements is 0.213 eV/atom.


[4]
This record from Alexandria describes a geometry-optimized Sm3Er2Tm8 structure. The functional is PBE.

Unit cell a=4.9813 b=7.8845 c=10.5587 alpha=85.69 beta=76.37 gamma=89.93
Last column: nearest neighbours and their distance in Å.
Positions (direct):
Sm  0.0000  0.0000  0.0000  4 Sm 3.52, 8 Tm 3.55
Sm  0.4610  0.6935  0.0775  3 Sm 3.52-3.55, 9 Tm 3.52-3.55
Sm  0.5390  0.3065  0.9225  3 Sm 3.52-3.55, 9 Tm 3.52-3.55
Er  0.2313  0.8460  0.5376  10 Tm 3.49-3.52, 2 Er 3.52
Er  0.7687  0.1540  0.4624  10 Tm 3.49-3.52, 2 Er 3.52
Tm  0.0784  0.6142  0.8437  1 Er 3.51, 6 Tm 3.51-3.56, 5 Sm 3.52-3.55
Tm  0.1558  0.2312  0.6888  6 Tm 3.47-3.54, 3 Er 3.49-3.51, 3 Sm 3.54-3.55
Tm  0.3066  0.4607  0.3862  8 Tm 3.47-3.53, 3 Er 3.52, 1 Sm 3.54
Tm  0.3827  0.0785  0.2342  3 Er 3.49-3.50, 5 Tm 3.50-3.54, 4 Sm 3.54-3.55
Tm  0.6173  0.9215  0.7658  3 Er 3.49-3.50, 5 Tm 3.50-3.54, 4 Sm 3.54-3.55
Tm  0.6934  0.5393  0.6138  8 Tm 3.47-3.53, 3 Er 3.52, 1 Sm 3.54
Tm  0.8442  0.7688  0.3112  6 Tm 3.47-3.54, 3 Er 3.49-3.51, 3 Sm 3.54-3.55
Tm  0.9216  0.3858  0.1563  1 Er 3.51, 6 Tm 3.51-3.56, 5 Sm 3.52-3.55

The space group is No. 2. The distance to the lowest polymorph of the same formula comes out at 0.000 eV per formula unit. The total magnetization comes out at 0.00 Bohr magnetons per cell. Its energy of formation from the pure elements is 0.026 eV/atom.


[5]
This record from Alexandria describes a geometry-optimized Sm3Er2Tm2 structure. The functional is PBE.

Unit cell a=3.5246 b=5.4763 c=12.0260 alpha=76.87 beta=81.59 gamma=90.00
Last column: nearest neighbours and their distance in Å.
Positions (direct):
Sm  0.0000  0.0000  0.0000  2 Tm 3.28, 2 Sm 3.52
Sm  0.2234  0.7235  0.5533  4 Tm 3.33-3.59, 6 Sm 3.48-3.52
Sm  0.7766  0.2765  0.4467  4 Tm 3.33-3.59, 6 Sm 3.48-3.52
Er  0.4201  0.4207  0.1578  3 Er 3.52-3.66, 4 Tm 3.57, 6 Sm 3.73-3.78
Er  0.5799  0.5793  0.8422  3 Er 3.52-3.66, 4 Tm 3.57, 6 Sm 3.73-3.78
Tm  0.1429  0.1420  0.7164  5 Sm 3.28-3.59, 2 Tm 3.52, 4 Er 3.57
Tm  0.8571  0.8580  0.2836  5 Sm 3.28-3.59, 2 Tm 3.52, 4 Er 3.57

The space group is No. 2. The distance to the lowest polymorph of the same formula comes out at 0.000 eV per formula unit. The total magnetization comes out at 0.00 Bohr magnetons per cell. Its energy of formation from the pure elements is 0.058 eV/atom.


[6]
This record from Alexandria describes a geometry-optimized Sm5Er3Tm3 structure. The functional is PBE.

Unit cell a=11.0975 b=11.0975 c=3.4457 alpha=90.00 beta=90.00 gamma=120.00
Last column: nearest neighbours and their distance in Å.
Positions (direct):
Sm  0.0000  0.1619  0.0000  4 Sm 3.11-3.45, 2 Tm 3.22, 2 Er 3.29
Sm  0.1619  0.0000  0.0000  4 Sm 3.11-3.45, 2 Tm 3.22, 2 Er 3.29
Sm  0.3333  0.6667  0.0000  2 Sm 3.45, 3 Er 3.65, 6 Tm 3.78
Sm  0.6667  0.3333  0.0000  2 Sm 3.45, 3 Er 3.65, 6 Tm 3.78
Sm  0.8381  0.8381  0.0000  4 Sm 3.11-3.45, 2 Tm 3.22, 2 Er 3.29
Er  0.0000  0.6574  0.0000  2 Tm 3.27, 4 Sm 3.29-3.65, 2 Er 3.45
Er  0.3426  0.3426  0.0000  2 Tm 3.27, 4 Sm 3.29-3.65, 2 Er 3.45
Er  0.6574  0.0000  0.0000  2 Tm 3.27, 4 Sm 3.29-3.65, 2 Er 3.45
Tm  0.0000  0.4074  0.5000  2 Sm 3.22, 2 Er 3.27, 2 Tm 3.45
Tm  0.4074  0.0000  0.5000  2 Sm 3.22, 2 Er 3.27, 2 Tm 3.45
Tm  0.5926  0.5926  0.5000  2 Sm 3.22, 2 Er 3.27, 2 Tm 3.45

The space group is No. 189. The distance to the lowest polymorph of the same formula comes out at 0.223 eV per formula unit. The total magnetization comes out at 0.00 Bohr magnetons per cell. Its energy of formation from the pure elements is 0.352 eV/atom.


Repeat the fifth record exactly.
This record from Alexandria describes a geometry-optimized Sm3Er2Tm2 structure. The functional is PBE.

Unit cell a=3.5246 b=5.4763 c=12.0260 alpha=76.87 beta=81.59 gamma=90.00
Last column: nearest neighbours and their distance in Å.
Positions (direct):
Sm  0.0000  0.0000  0.0000  2 Tm 3.28, 2 Sm 3.52
Sm  0.2234  0.7235  0.5533  4 Tm 3.33-3.59, 6 Sm 3.48-3.52
Sm  0.7766  0.2765  0.4467  4 Tm 3.33-3.59, 6 Sm 3.48-3.52
Er  0.4201  0.4207  0.1578  3 Er 3.52-3.66, 4 Tm 3.57, 6 Sm 3.73-3.78
Er  0.5799  0.5793  0.8422  3 Er 3.52-3.66, 4 Tm 3.57, 6 Sm 3.73-3.78
Tm  0.1429  0.1420  0.7164  5 Sm 3.28-3.59, 2 Tm 3.52, 4 Er 3.57
Tm  0.8571  0.8580  0.2836  5 Sm 3.28-3.59, 2 Tm 3.52, 4 Er 3.57

The space group is No. 2. The distance to the lowest polymorph of the same formula comes out at 0.000 eV per formula unit. The total magnetization comes out at 0.00 Bohr magnetons per cell. Its energy of formation from the pure elements is 0.058 eV/atom.


Number 6 is which compound?
Sm5Er3Tm3


What is the energy of formation from the pure elements in the fourth record?
0.026 eV/atom